Record 1
Al2VRu3 | Alexandria via LeMat-Bulk | GGA-PBE | relaxed; M_tot = 0.0 μB per formula unit; DOS at the Fermi energy = 4.63 states/eV/cell; energy relative to the elements = -0.626 eV/atom
1.0
3.013 0.000 0.000
0.000 3.013 0.000
0.000 0.000 8.984
Al V Ru
2 1 3
Cartesian
0.000 0.000 1.457 Al
0.000 0.000 7.526 Al
0.000 0.000 4.492 V
1.507 1.507 0.000 Ru
1.507 1.507 3.036 Ru
1.507 1.507 5.947 Ru


Record 2
NaAl2Ru2 | Alexandria via LeMat-Bulk | GGA-PBE | relaxed; energy above the most stable polymorph in this dataset = 0.000 eV per atom; M_tot = 0.0 μB per formula unit; DOS at the Fermi energy = 6.42 states/eV/cell; energy relative to the elements = -0.177 eV/atom
1.0
7.666 0.000 0.000
0.000 7.666 0.000
0.000 0.000 2.716
Na Al Ru
2 4 4
Cartesian
0.000 0.000 0.000 Na
3.833 3.833 0.000 Na
1.238 2.595 1.358 Al
2.595 6.428 1.358 Al
5.071 1.238 1.358 Al
6.428 5.071 1.358 Al
1.009 4.842 0.000 Ru
2.824 1.009 0.000 Ru
4.842 6.657 0.000 Ru
6.657 2.824 0.000 Ru


Record 3
CoAg2Te | Alexandria via LeMat-Bulk | GGA-PBE | relaxed; formation energy from raw total energies = 0.47 eV/atom; M_tot = 1.0 μB per formula unit; DOS at the Fermi energy = 11.12 states/eV/cell
1.0
-4.200 4.200 2.410
4.200 -4.200 2.410
4.200 4.200 -2.410
Co Ag Te
2 4 2
Cartesian
0.000 0.000 0.000 Co
0.000 4.200 1.205 Co
6.300 1.418 -0.603 Ag
1.418 2.100 0.603 Ag
-2.100 2.782 1.808 Ag
2.782 2.100 3.013 Ag
4.200 0.000 1.205 Te
0.000 0.000 2.410 Te


Record 4
NdMnNbN3 | Alexandria via LeMat-Bulk | GGA-PBE | relaxed; formation energy from raw total energies = -0.90 eV/atom; M_tot = 0.0 μB per formula unit; DOS at the Fermi energy = 6.13 states/eV/cell
1.0
6.962 0.000 0.000
0.000 3.181 0.000
-2.025 0.000 7.033
Nd Mn Nb N
2 2 2 6
Cartesian
0.929 0.795 1.504 Nd
4.008 2.386 5.529 Nd
-0.520 0.795 4.207 Mn
5.456 2.386 2.826 Mn
0.628 2.386 5.973 Nb
4.308 0.795 1.060 Nb
-0.904 0.795 6.079 N
0.324 2.386 3.490 N
2.773 2.386 1.066 N
2.163 0.795 5.967 N
4.612 0.795 3.544 N
5.840 2.386 0.954 N


Record 5
PrNdTm2P4 | Alexandria via LeMat-Bulk | GGA-PBE | relaxed; M_tot = 0.0 μB per formula unit; DOS at the Fermi energy = 0.82 states/eV/cell; energy relative to the elements = -1.551 eV/atom
1.0
7.040 0.000 0.000
0.000 4.072 0.000
-2.352 0.000 6.645
Pr Nd Tm P
1 1 2 4
Cartesian
0.000 0.000 0.000 Pr
-1.176 2.036 3.323 Nd
2.344 0.000 3.323 Tm
3.520 2.036 0.000 Tm
0.086 0.000 5.009 P
1.262 2.036 1.700 P
3.426 2.036 4.945 P
4.601 0.000 1.636 P


Record 6
NaLiPb2Br6 | Alexandria via LeMat-Bulk | GGA-PBE | relaxed; formation energy from raw total energies = -1.16 eV/atom; M_tot = 0.0 μB per formula unit; DOS at the Fermi energy = 0.00 states/eV/cell
1.0
3.738 2.158 6.725
-3.738 2.158 6.725
0.000 -4.316 6.725
Na Li Pb Br
1 1 2 6
Cartesian
0.000 0.000 0.000 Na
0.000 0.000 10.137 Li
0.000 0.000 3.909 Pb
0.000 0.000 14.052 Pb
-0.960 -2.170 8.698 Br
-2.208 -0.137 11.978 Br
-1.399 1.917 8.698 Br
1.223 -1.844 11.978 Br
2.359 0.254 8.698 Br
0.986 1.981 11.978 Br


Record 7
Sn3PbW | Alexandria via LeMat-Bulk | GGA-PBE | relaxed; energy above the most stable polymorph in this dataset = 0.000 eV per atom; M_tot = 0.0 μB per formula unit; DOS at the Fermi energy = 4.17 states/eV/cell; energy relative to the elements = 0.517 eV/atom
1.0
5.326 0.000 0.000
0.000 5.326 0.000
0.000 0.000 5.326
Sn Pb W
3 1 1
Cartesian
0.000 0.000 2.663 Sn
0.000 2.663 0.000 Sn
2.663 0.000 0.000 Sn
2.663 2.663 2.663 Pb
0.000 0.000 0.000 W


Record 8
CoW2Se | Alexandria via LeMat-Bulk | GGA-PBE | relaxed; formation energy from raw total energies = 0.45 eV/atom; M_tot = 0.8 μB per formula unit; DOS at the Fermi energy = 2.89 states/eV/cell
1.0
4.481 -1.520 0.000
4.481 1.520 0.000
-0.529 0.000 4.468
Co W Se
1 2 1
Cartesian
0.000 0.000 0.000 Co
1.937 0.000 3.439 W
6.496 0.000 1.029 W
4.216 0.000 2.234 Se


Number 1: uncorrected energy -0.29513 Ha/atom. Number 2: uncorrected energy -0.20756 Ha/atom. Number 3: uncorrected energy -0.12937 Ha/atom. Number 4: uncorrected energy -0.33303 Ha/atom. Number 5: uncorrected energy -0.24135 Ha/atom. Number 6: uncorrected energy -0.11850 Ha/atom. Number 7: uncorrected energy -0.19172 Ha/atom. Number 8: uncorrected energy -0.31873 Ha/atom.